No. 1
KTl2Cd meta-GGA SCAN single point on PBEsol structure; DFT formation energy = -49 meV/atom; space-group type = I-4m2; theoretical density = 8.272 g/cm3
1.0
-1.408 3.777 -3.530
-5.159 -0.796 1.206
3.522 1.227 3.974
Tl K Cd
2 1 1
Direct
0.000 0.000 0.000 Tl
0.750 0.250 0.500 Tl
0.250 0.750 0.500 K
0.500 0.500 0.000 Cd

No. 2
CaReTe2 meta-GGA SCAN single point on PBEsol structure; energy above the most stable polymorph in this dataset = 1.51 eV/f.u.; space-group type = P4mm; theoretical density = 8.753 g/cm3; raw formation energy = 0.10 eV/atom
1.0
3.626 0.000 0.000
0.000 3.626 0.000
0.000 0.000 6.946
Re Ca Te
1 1 2
Direct
0.500 0.500 0.763 Re
0.000 0.000 0.498 Ca
0.000 0.000 0.935 Te
0.500 0.500 0.304 Te

No. 3
BiO2 meta-GGA SCAN single point on PBEsol structure; energy above the most stable polymorph in this dataset = 0.32 eV/f.u.; space-group type = I4/m; theoretical density = 6.708 g/cm3; raw formation energy = -0.77 eV/atom
1.0
3.538 0.000 0.000
1.769 8.213 0.000
1.769 0.000 8.213
Bi O
4 8
Direct
0.657 0.187 0.499 Bi
0.156 0.501 0.187 Bi
0.844 0.499 0.813 Bi
0.343 0.813 0.501 Bi
0.834 0.699 0.633 O
0.467 0.367 0.699 O
0.533 0.633 0.301 O
0.166 0.301 0.367 O
0.162 0.063 0.613 O
0.775 0.387 0.063 O
0.838 0.937 0.387 O
0.225 0.613 0.937 O

No. 4
CoB2I2 meta-GGA SCAN single point on PBEsol structure; space-group type = I4/mmm; theoretical density = 5.913 g/cm3; raw formation energy = 1.93 eV/atom
1.0
4.846 0.000 0.000
-2.423 4.675 -0.003
0.000 2.514 4.143
I B Co
2 2 1
Direct
0.703 0.406 0.297 I
0.297 0.594 0.703 I
0.750 0.500 0.750 B
0.250 0.500 0.250 B
0.000 0.000 0.000 Co